Record 1
First-principles (PBE) data for a relaxed Pr4Th crystal, as listed in Alexandria via LeMat-Bulk.

POSCAR file:
```
Pr4Th
1.0
-5.1341 1.1706 2.8885
1.8089 -3.4135 4.5987
2.5380 4.8010 2.5654
Pr Th
4 1
Cartesian
0.0000 0.0000 0.0000
-1.2981 2.9858 2.7269
2.1735 0.6937 3.5821
-1.6626 -1.1215 3.7436
-0.3936 1.2791 5.0263
```

Properties
Uncorrected energy: -4.6170 eV per atom
Space group: Pm-3m (221)

***

Record 2
First-principles (PBE) data for a relaxed PrTh3 crystal, as listed in Alexandria via LeMat-Bulk.

POSCAR file:
```
PrTh3
1.0
5.7219 0.0000 0.0000
2.8610 4.9553 0.0000
2.8610 1.6518 4.6719
Pr Th
1 3
Cartesian
5.7219 3.3036 2.3360
0.0000 0.0000 0.0000
8.5829 4.9553 3.5040
2.8610 1.6518 1.1680
```

Properties
Uncorrected energy: -6.5682 eV per atom
Space group: Fm-3m (225)

***

Record 3
First-principles (PBE) data for a relaxed Pr3Th crystal, as listed in Alexandria via LeMat-Bulk.

POSCAR file:
```
Pr3Th
1.0
3.6465 0.0000 0.0000
0.0000 6.3892 0.0000
-1.8233 -3.1946 6.0578
Pr Th
3 1
Cartesian
0.0000 2.0999 3.0657
1.8233 3.2439 0.0000
1.8233 -1.0947 2.9921
0.0000 0.0103 0.0000
```

Properties
Uncorrected energy: -5.3593 eV per atom
Space group: Imm2 (44)